Record 1
Ce4Nd2Sn3O2 | PBE-GGA | optimized geometry

Calculated values
DFT total energy (Ry per atom): -0.473
Formation energy without anion corrections (eV/atom): -1.4128
Calculated volume (A^3/atom): 26.7

a = 4.746 Å, b = 4.746 Å, c = 13.484 Å
α = 100.14°, β = 100.14°, γ = 90.00°
Element x y z (fractional)
Ce 0.416 0.916 0.832
Ce 0.916 0.416 0.832
Ce 0.084 0.584 0.168
Ce 0.584 0.084 0.168
Nd 0.303 0.303 0.605
Nd 0.697 0.697 0.395
Sn 0.000 0.000 0.000
Sn 0.176 0.176 0.353
Sn 0.824 0.824 0.647
O 0.401 0.401 0.802
O 0.599 0.599 0.198



Record 2
Sr2CeNdO6 | PBE-GGA | optimized geometry

Calculated values
DFT total energy (Ry per atom): -0.536
Formation energy without anion corrections (eV/atom): -2.9091
Calculated volume (A^3/atom): 16.7

a = 6.085 Å, b = 6.275 Å, c = 8.741 Å
α = 90.00°, β = 90.04°, γ = 90.00°
Element x y z (fractional)
Sr 0.017 0.950 0.251
Sr 0.517 0.550 0.751
Sr 0.983 0.050 0.749
Sr 0.483 0.450 0.249
Ce 0.500 0.000 0.500
Ce 0.000 0.500 0.000
Nd 0.500 0.000 0.000
Nd 0.000 0.500 0.500
O 0.291 0.696 0.061
O 0.791 0.804 0.561
O 0.709 0.304 0.939
O 0.209 0.196 0.439
O 0.306 0.710 0.434
O 0.806 0.790 0.934
O 0.694 0.290 0.566
O 0.194 0.210 0.066
O 0.884 0.553 0.243
O 0.384 0.947 0.743
O 0.116 0.447 0.757
O 0.616 0.053 0.257



Record 3
Ce2NdTeO4 | PBE-GGA | optimized geometry

Calculated values
DFT total energy (Ry per atom): -0.593
Formation energy without anion corrections (eV/atom): -3.1132
Calculated volume (A^3/atom): 18.6

a = 4.004 Å, b = 4.004 Å, c = 9.259 Å
α = 90.00°, β = 90.00°, γ = 90.00°
Element x y z (fractional)
Ce 0.500 0.500 0.272
Ce 0.500 0.500 0.728
Nd 0.000 0.000 0.000
Te 0.000 0.000 0.500
O 0.000 0.500 0.158
O 0.500 0.000 0.842
O 0.500 0.000 0.158
O 0.000 0.500 0.842



Record 4
CeNdUO6 | PBE-GGA | optimized geometry

Calculated values
DFT total energy (Ry per atom): -0.663
Formation energy without anion corrections (eV/atom): -3.2651
Calculated volume (A^3/atom): 16.1

a = 5.953 Å, b = 5.953 Å, c = 9.421 Å
α = 90.00°, β = 90.00°, γ = 120.00°
Element x y z (fractional)
Ce 0.000 0.000 0.000
Ce 0.000 0.000 0.500
Nd 0.333 0.667 0.250
Nd 0.667 0.333 0.750
U 0.667 0.333 0.250
U 0.333 0.667 0.750
O 0.675 0.642 0.132
O 0.967 0.325 0.132
O 0.325 0.967 0.632
O 0.033 0.675 0.868
O 0.358 0.325 0.368
O 0.967 0.642 0.368
O 0.642 0.967 0.868
O 0.675 0.033 0.368
O 0.033 0.358 0.632
O 0.358 0.033 0.132
O 0.642 0.675 0.632
O 0.325 0.358 0.868



Record 5
CeNd4Zr3O14 | PBE-GGA | optimized geometry

Calculated values
DFT total energy (Ry per atom): -0.650
Formation energy without anion corrections (eV/atom): -3.3879
Calculated volume (A^3/atom): 14.6

a = 7.667 Å, b = 7.667 Å, c = 7.667 Å
α = 60.45°, β = 60.45°, γ = 60.45°
Element x y z (fractional)
Ce 0.000 0.000 0.000
Nd 0.500 0.500 0.500
Nd 0.000 0.500 0.500
Nd 0.500 0.500 0.000
Nd 0.500 0.000 0.500
Zr 0.500 0.000 0.000
Zr 0.000 0.000 0.500
Zr 0.000 0.500 0.000
O 0.624 0.624 0.624
O 0.376 0.376 0.376
O 0.913 0.330 0.330
O 0.353 0.903 0.903
O 0.330 0.330 0.913
O 0.903 0.903 0.353
O 0.903 0.353 0.903
O 0.330 0.913 0.330
O 0.087 0.670 0.670
O 0.647 0.097 0.097
O 0.670 0.670 0.087
O 0.097 0.097 0.647
O 0.097 0.647 0.097
O 0.670 0.087 0.670



Record 6
Ce2Nd2Os3 | PBE-GGA | optimized geometry

Calculated values
DFT total energy (Ry per atom): -0.581
Energy of formation from the pure elements (meV/atom): -33
Calculated volume (A^3/atom): 25.9

a = 4.504 Å, b = 5.870 Å, c = 7.524 Å
α = 98.26°, β = 89.94°, γ = 112.60°
Element x y z (fractional)
Ce 0.634 0.269 0.908
Ce 0.366 0.731 0.092
Nd 0.869 0.737 0.636
Nd 0.131 0.263 0.364
Os 0.000 0.000 0.000
Os 0.811 0.622 0.244
Os 0.189 0.378 0.756



Record 7
CeNd2Os | PBE-GGA | optimized geometry

Calculated values
DFT total energy (Ry per atom): -0.459
ΔE to the lowest computed polymorph (meV/atom): 571
Energy of formation from the pure elements (meV/atom): 427
Calculated volume (A^3/atom): 28.6

a = 3.468 Å, b = 3.468 Å, c = 11.150 Å
α = 81.05°, β = 81.05°, γ = 60.00°
Element x y z (fractional)
Nd 0.103 0.103 0.691
Nd 0.897 0.897 0.309
Os 0.500 0.500 0.500
Ce 0.000 0.000 0.000



Record 8
Ce3Nd2Os2 | PBE-GGA | optimized geometry

Calculated values
DFT total energy (Ry per atom): -0.533
Energy of formation from the pure elements (meV/atom): -144
Calculated volume (A^3/atom): 26.3

a = 3.917 Å, b = 6.242 Å, c = 8.652 Å
α = 112.47°, β = 90.00°, γ = 108.29°
Element x y z (fractional)
Ce 0.500 0.000 0.000
Ce 0.621 0.243 0.442
Ce 0.379 0.757 0.558
Nd 0.841 0.682 0.193
Nd 0.159 0.318 0.807
Os 0.858 0.716 0.766
Os 0.142 0.284 0.234



Record 9
CeNd2Os2 | PBE-GGA | optimized geometry

Calculated values
DFT total energy (Ry per atom): -0.569
ΔE to the lowest computed polymorph (meV/atom): 0
Energy of formation from the pure elements (meV/atom): -160
Calculated volume (A^3/atom): 24.4

a = 4.351 Å, b = 6.025 Å, c = 6.026 Å
α = 57.80°, β = 68.84°, γ = 68.84°
Element x y z (fractional)
Ce 0.500 0.500 0.000
Nd 0.696 0.804 0.304
Nd 0.304 0.196 0.696
Os 0.000 0.232 0.268
Os 0.000 0.768 0.732



Record 10
Ce2NdOs2 | PBE-GGA | optimized geometry

Calculated values
DFT total energy (Ry per atom): -0.580
ΔE to the lowest computed polymorph (meV/atom): 0
Energy of formation from the pure elements (meV/atom): -68
Calculated volume (A^3/atom): 24.2

a = 4.199 Å, b = 6.472 Å, c = 9.727 Å
α = 79.29°, β = 77.54°, γ = 71.07°
Element x y z (fractional)
Ce 0.052 0.605 0.292
Ce 0.179 0.729 0.914
Ce 0.948 0.395 0.708
Ce 0.821 0.271 0.086
Nd 0.692 0.971 0.646
Nd 0.308 0.029 0.354
Os 0.381 0.651 0.586
Os 0.438 0.201 0.923
Os 0.619 0.349 0.414
Os 0.562 0.799 0.077



Record 11
Ce4Nd3Os4 | PBE-GGA | optimized geometry

Calculated values
DFT total energy (Ry per atom): -0.563
Energy of formation from the pure elements (meV/atom): -113
Calculated volume (A^3/atom): 24.3

a = 4.727 Å, b = 7.527 Å, c = 8.736 Å
α = 115.52°, β = 105.70°, γ = 90.00°
Element x y z (fractional)
Ce 0.335 0.120 0.670
Ce 0.665 0.450 0.330
Ce 0.665 0.880 0.330
Ce 0.335 0.550 0.670
Nd 0.105 0.105 0.209
Nd 0.895 0.895 0.791
Nd 0.000 0.500 0.000
Os 0.214 0.714 0.428
Os 0.786 0.286 0.572
Os 0.500 0.816 0.000
Os 0.500 0.184 0.000



Record 12
Ce5Nd2Os3 | PBE-GGA | optimized geometry

Calculated values
DFT total energy (Ry per atom): -0.542
Energy of formation from the pure elements (meV/atom): -87
Calculated volume (A^3/atom): 25.5

a = 6.037 Å, b = 9.499 Å, c = 9.499 Å
α = 110.33°, β = 92.57°, γ = 92.57°
Element x y z (fractional)
Ce 0.535 0.285 0.956
Ce 0.035 0.956 0.285
Ce 0.465 0.715 0.044
Ce 0.965 0.044 0.715
Ce 0.950 0.744 0.854
Ce 0.050 0.256 0.146
Ce 0.750 0.488 0.512
Ce 0.250 0.512 0.488
Ce 0.550 0.146 0.256
Ce 0.450 0.854 0.744
Nd 0.953 0.594 0.199
Nd 0.453 0.199 0.594
Nd 0.047 0.406 0.801
Nd 0.547 0.801 0.406
Os 0.523 0.543 0.781
Os 0.023 0.781 0.543
Os 0.477 0.457 0.219
Os 0.977 0.219 0.457
Os 0.250 0.994 0.006
Os 0.750 0.006 0.994



Table of spin magnetization (μB per formula unit), in record order: 3.66, 1.10, 1.06, 1.00, 0.00, 0.00, 1.35, 0.00, 0.00, 0.00, 0.00, 0.00